# BiSbTe3 | Alexandria via LeMat-Bulk | PBE-GGA | optimized geometry
# - Crystal system: cubic
# - VASP energy: -2.79 eV/atom
data_BiSbTe3
_space_group_name_H-M_alt 'P m -3 m'
_space_group_IT_number 221
_space_group_name_Hall '-P 4 2 3'
_cell_length_a 5.844
_cell_length_b 5.844
_cell_length_c 5.844
_cell_angle_alpha 90.00
_cell_angle_beta 90.00
_cell_angle_gamma 90.00
loop_
_atom_site_label
_atom_site_type_symbol
_atom_site_fract_x
_atom_site_fract_y
_atom_site_fract_z
Bi1 Bi 0.000 0.000 0.000
Sb1 Sb 0.500 0.500 0.500
Te1 Te 0.000 0.000 0.500

=====

# GaNiSbTe2 | Alexandria via LeMat-Bulk | PBE-GGA | optimized geometry
# - Crystal system: tetragonal
# - VASP energy: -3.61 eV/atom
data_GaNiSbTe2
_space_group_name_H-M_alt 'P 4/m m m'
_space_group_IT_number 123
_space_group_name_Hall '-P 4 2'
_cell_length_a 5.334
_cell_length_b 5.334
_cell_length_c 4.779
_cell_angle_alpha 90.00
_cell_angle_beta 90.00
_cell_angle_gamma 90.00
loop_
_atom_site_label
_atom_site_type_symbol
_atom_site_fract_x
_atom_site_fract_y
_atom_site_fract_z
Ga1 Ga 0.000 0.000 0.000
Ni1 Ni 0.500 0.500 0.500
Sb1 Sb 0.500 0.500 0.000
Te1 Te 0.000 0.500 0.500

=====

# Ca2LaRhI | Alexandria via LeMat-Bulk | PBE-GGA | optimized geometry
# - Crystal system: tetragonal
# - VASP energy: -4.13 eV/atom
data_Ca2LaRhI
_space_group_name_H-M_alt 'P 4/m m m'
_space_group_IT_number 123
_space_group_name_Hall '-P 4 2'
_cell_length_a 5.693
_cell_length_b 5.693
_cell_length_c 5.396
_cell_angle_alpha 90.00
_cell_angle_beta 90.00
_cell_angle_gamma 90.00
loop_
_atom_site_label
_atom_site_type_symbol
_atom_site_fract_x
_atom_site_fract_y
_atom_site_fract_z
Ca1 Ca 0.000 0.500 0.000
La1 La 0.000 0.000 0.500
Rh1 Rh 0.000 0.000 0.000
I1 I 0.500 0.500 0.500

=====

# YTlBr4 | Alexandria via LeMat-Bulk | PBE-GGA | optimized geometry
# - Crystal system: cubic
# - VASP energy: -2.67 eV/atom
data_YTlBr4
_space_group_name_H-M_alt 'F -4 3 m'
_space_group_IT_number 216
_space_group_name_Hall 'F -4 2 3'
_cell_length_a 9.011
_cell_length_b 9.011
_cell_length_c 9.011
_cell_angle_alpha 90.00
_cell_angle_beta 90.00
_cell_angle_gamma 90.00
loop_
_atom_site_label
_atom_site_type_symbol
_atom_site_fract_x
_atom_site_fract_y
_atom_site_fract_z
Y1 Y 0.000 0.000 0.000
Tl1 Tl 0.250 0.250 0.250
Br1 Br 0.126 0.126 0.626

=====

# Ca2PtI | Alexandria via LeMat-Bulk | PBE-GGA | optimized geometry
# - Crystal system: trigonal
# - VASP energy: -3.96 eV/atom
data_Ca2PtI
_space_group_name_H-M_alt 'R -3 m'
_space_group_IT_number 166
_space_group_name_Hall '-R 3 2"'
_cell_length_a 4.2681
_cell_length_b 4.2681
_cell_length_c 23.2022
_cell_angle_alpha 90.00
_cell_angle_beta 90.00
_cell_angle_gamma 120.00
loop_
_atom_site_label
_atom_site_type_symbol
_atom_site_fract_x
_atom_site_fract_y
_atom_site_fract_z
Ca1 Ca 0.0000 0.0000 0.2310
Pt1 Pt 0.0000 0.0000 0.5000
I1 I 0.0000 0.0000 0.0000

=====

# Cu2RhBr8 | Alexandria via LeMat-Bulk | PBE-GGA | optimized geometry
# - Crystal system: monoclinic
# - VASP energy: -2.84 eV/atom
data_Cu2RhBr8
_space_group_name_H-M_alt 'C 1 2/m 1'
_space_group_IT_number 12
_space_group_name_Hall '-C 2y'
_cell_length_a 9.575
_cell_length_b 11.600
_cell_length_c 6.267
_cell_angle_alpha 90.00
_cell_angle_beta 103.39
_cell_angle_gamma 90.00
loop_
_atom_site_label
_atom_site_type_symbol
_atom_site_fract_x
_atom_site_fract_y
_atom_site_fract_z
Cu1 Cu 0.203 0.000 0.010
Rh1 Rh 0.000 0.500 0.500
Br1 Br 0.034 0.000 0.248
Br2 Br 0.126 0.351 0.766
Br3 Br 0.214 0.500 0.331

=====

# TaCCl2 | Alexandria via LeMat-Bulk | PBE-GGA | optimized geometry
# - Crystal system: trigonal
# - VASP energy: -5.06 eV/atom
data_TaCCl2
_space_group_name_H-M_alt 'R -3 m'
_space_group_IT_number 166
_space_group_name_Hall '-R 3 2"'
_cell_length_a 3.0890
_cell_length_b 3.0890
_cell_length_c 25.0162
_cell_angle_alpha 90.00
_cell_angle_beta 90.00
_cell_angle_gamma 120.00
loop_
_atom_site_label
_atom_site_type_symbol
_atom_site_fract_x
_atom_site_fract_y
_atom_site_fract_z
Ta1 Ta 0.0000 0.0000 0.0000
C1 C 0.0000 0.0000 0.5000
Cl1 Cl 0.0000 0.0000 0.4059

=====

# ReTe2Au | Alexandria via LeMat-Bulk | PBE-GGA | optimized geometry
# - Crystal system: trigonal
# - VASP energy: -5.17 eV/atom
data_ReTe2Au
_space_group_name_H-M_alt 'R -3 m'
_space_group_IT_number 166
_space_group_name_Hall '-R 3 2"'
_cell_length_a 3.9169
_cell_length_b 3.9169
_cell_length_c 24.8220
_cell_angle_alpha 90.00
_cell_angle_beta 90.00
_cell_angle_gamma 120.00
loop_
_atom_site_label
_atom_site_type_symbol
_atom_site_fract_x
_atom_site_fract_y
_atom_site_fract_z
Re1 Re 0.0000 0.0000 0.0000
Te1 Te 0.0000 0.0000 0.3942
Au1 Au 0.0000 0.0000 0.5000

=====

Question: What is the VASP energy in the sixth record?
Answer: -2.84 eV/atom